Compound: PrSbTe
Source: OQMD
Functional: PBE-GGA
Structure: relaxed Values from VASP.

Quantum ESPRESSO input file:
```
&SYSTEM
  ibrav = 0, nat = 3, ntyp = 3
/
ATOMIC_SPECIES
Pr 140.91 Pr.upf
Sb 121.76 Sb.upf
Te 127.60 Te.upf
CELL_PARAMETERS angstrom
0.000 3.779 3.779
3.779 0.000 3.779
3.779 3.779 0.000
ATOMIC_POSITIONS angstrom
Pr 0.000 0.000 0.000
Sb 1.889 1.889 1.889
Te 5.668 5.668 5.668
```

Output
- calculated total energy (eV/f.u.) = -13.850